No. 1
The following is a GGA-PBE calculation of a geometry-optimized Ac2Pr2Hg2Ru structure, from the Alexandria database.

a = 15.721 Å, b = 4.223 Å, c = 7.566 Å
α = 90.00°, β = 111.80°, γ = 90.00°
Space group C2/m (No. 12)
Inequivalent atoms, fractional coordinates:
Ac: 0.200 0.000 0.192
Pr: 0.019 0.500 0.766
Hg: 0.124 0.000 0.569
Ru: 0.000 0.000 0.000

## Properties
E_tot = -59.512 eV for the cell shown
DOS at the Fermi energy = 0.861 states/eV per atom
Magnetization = 0.0 μB/f.u.
Crystal system = monoclinic

***

No. 2
The following is a GGA-PBE calculation of a geometry-optimized AcPrHgSb structure, from the Alexandria database.

a = 7.950 Å, b = 7.950 Å, c = 7.950 Å
α = 90.00°, β = 90.00°, γ = 90.00°
Space group F-43m (No. 216)
Inequivalent atoms, fractional coordinates:
Ac: 0.000 0.000 0.000
Pr: 0.000 0.000 0.500
Hg: 0.250 0.250 0.750
Sb: 0.250 0.250 0.250

## Properties
E_tot = -63.757 eV for the cell shown
DOS at the Fermi energy = 1.135 states/eV per atom
Magnetization = 0.0 μB/f.u.
Raw formation energy = -0.657 eV/atom
Crystal system = cubic

***

No. 3
The following is a GGA-PBE calculation of a geometry-optimized AcPrScHg structure, from the Alexandria database.

a = 7.828 Å, b = 7.828 Å, c = 7.828 Å
α = 90.00°, β = 90.00°, γ = 90.00°
Space group F-43m (No. 216)
Inequivalent atoms, fractional coordinates:
Ac: 0.000 0.000 0.000
Pr: 0.250 0.250 0.750
Sc: 0.250 0.250 0.250
Hg: 0.000 0.000 0.500

## Properties
E_tot = -61.121 eV for the cell shown
DOS at the Fermi energy = 2.175 states/eV per atom
Magnetization = 0.4 μB/f.u.
Crystal system = cubic

***

No. 4
The following is a GGA-PBE calculation of a geometry-optimized AcPrSiHg structure, from the Alexandria database.

a = 7.722 Å, b = 7.722 Å, c = 7.722 Å
α = 90.00°, β = 90.00°, γ = 90.00°
Space group F-43m (No. 216)
Inequivalent atoms, fractional coordinates:
Ac: 0.000 0.000 0.000
Pr: 0.000 0.000 0.500
Si: 0.250 0.250 0.750
Hg: 0.250 0.250 0.250

## Properties
E_tot = -64.956 eV for the cell shown
DOS at the Fermi energy = 1.006 states/eV per atom
Magnetization = 0.0 μB/f.u.
Raw formation energy = -0.407 eV/atom
Crystal system = cubic

***

No. 5
The following is a GGA-PBE calculation of a geometry-optimized Ac2PrSmHg4 structure, from the Alexandria database.

a = 5.5716 Å, b = 5.5716 Å, c = 27.4155 Å
α = 90.00°, β = 90.00°, γ = 120.00°
Space group R-3m (No. 166, hexagonal axes)
Inequivalent atoms, fractional coordinates:
Ac: 0.0000 0.0000 0.2502
Pr: 0.0000 0.0000 0.5000
Sm: 0.0000 0.0000 0.0000
Hg: 0.0000 0.0000 0.1241
Hg: 0.0000 0.0000 0.3738

## Properties
E_tot = -67.610 eV for the cell shown
DOS at the Fermi energy = 1.117 states/eV per atom
Magnetization = 1.5 μB/f.u.
Crystal system = trigonal

***

No. 6
The following is a GGA-PBE calculation of a geometry-optimized AcPr2Sn2Hg2 structure, from the Alexandria database.

a = 5.0995 Å, b = 5.0995 Å, c = 28.7799 Å
α = 90.00°, β = 90.00°, γ = 120.00°
Space group R-3m (No. 166, hexagonal axes)
Inequivalent atoms, fractional coordinates:
Ac: 0.0000 0.0000 0.0000
Pr: 0.0000 0.0000 0.1321
Sn: 0.0000 0.0000 0.2656
Hg: 0.0000 0.0000 0.4290

## Properties
E_tot = -75.168 eV for the cell shown
DOS at the Fermi energy = 0.914 states/eV per atom
Magnetization = 0.0 μB/f.u.
Crystal system = trigonal